Record 1
An optimized crystal structure of MgInC2. Source: the Alexandria database, functional GGA-PBE.

Values from the calculation:
- Calculated formation energy: 1576 meV/atom
- E above lowest polymorph: 0 meV per atom
- DOS at the Fermi energy: 2.5 states/eV/f.u.

a = 5.7360 Å, b = 5.7360 Å, c = 7.5988 Å
α = 90.00°, β = 90.00°, γ = 90.00°
Closest atoms and distances in Å follow each position.
Space group I-42d (No. 122)
Unique sites:
Mg1 0.0000 0.0000 0.0000 x4  4 C 2.24
In1 0.0000 0.0000 0.5000 x4  4 C 2.24
C1 0.2497 0.2500 0.1250 x8  2 Mg 2.24, 2 In 2.24


Record 2
An optimized crystal structure of MgIn3C. Source: the Alexandria database, functional GGA-PBE.

Values from the calculation:
- Calculated formation energy: 768 meV/atom
- E above lowest polymorph: 0 meV per atom
- DOS at the Fermi energy: 4.6 states/eV/f.u.

a = 4.8472 Å, b = 4.8472 Å, c = 4.8472 Å
α = 90.00°, β = 90.00°, γ = 90.00°
Closest atoms and distances in Å follow each position.
Space group Pm-3m (No. 221)
Unique sites:
Mg1 0.0000 0.0000 0.0000 x1  12 In 3.43
In1 0.0000 0.5000 0.5000 x3  2 C 2.42
C1 0.5000 0.5000 0.5000 x1  6 In 2.42


Record 3
An optimized crystal structure of MgInNiC2. Source: the Alexandria database, functional GGA-PBE.

Values from the calculation:
- Calculated formation energy: 2035 meV/atom
- DOS at the Fermi energy: 3.9 states/eV/f.u.

a = 4.0797 Å, b = 4.0797 Å, c = 4.6255 Å
α = 90.00°, β = 90.00°, γ = 90.00°
Closest atoms and distances in Å follow each position.
Space group P4/mmm (No. 123)
Unique sites:
Mg1 0.0000 0.0000 0.0000 x1  4 C 2.04
In1 0.5000 0.5000 0.5000 x1  4 Ni 2.88, 8 C 3.08
Ni1 0.0000 0.0000 0.5000 x1  2 Mg 2.31
C1 0.0000 0.5000 0.0000 x2  2 Mg 2.04


Record 4
An optimized crystal structure of Mg2InNiC. Source: the Alexandria database, functional GGA-PBE.

Values from the calculation:
- Calculated formation energy: 135 meV/atom
- DOS at the Fermi energy: 1.7 states/eV/f.u.

a = 4.5454 Å, b = 4.5454 Å, c = 3.8130 Å
α = 90.00°, β = 90.00°, γ = 90.00°
Closest atoms and distances in Å follow each position.
Space group P4/mmm (No. 123)
Unique sites:
Mg1 0.0000 0.5000 0.0000 x2  2 C 2.27
In1 0.0000 0.0000 0.5000 x1  8 Mg 2.97, 4 Ni 3.21
Ni1 0.5000 0.5000 0.5000 x1  2 C 1.91
C1 0.5000 0.5000 0.0000 x1  2 Ni 1.91


Record 5
An optimized crystal structure of Mg2InOsC. Source: the Alexandria database, functional GGA-PBE.

Values from the calculation:
- Calculated formation energy: 121 meV/atom
- DOS at the Fermi energy: 3.3 states/eV/f.u.

a = 4.5022 Å, b = 4.5022 Å, c = 3.9667 Å
α = 90.00°, β = 90.00°, γ = 90.00°
Closest atoms and distances in Å follow each position.
Space group P4/mmm (No. 123)
Unique sites:
Mg1 0.0000 0.5000 0.0000 x2  2 C 2.25
In1 0.0000 0.0000 0.5000 x1  8 Mg 3.00, 4 Os 3.18
Os1 0.5000 0.5000 0.5000 x1  2 C 1.98
C1 0.5000 0.5000 0.0000 x1  2 Os 1.98


Record 6
An optimized crystal structure of MgInOsC2. Source: the Alexandria database, functional GGA-PBE.

Values from the calculation:
- Calculated formation energy: 3010 meV/atom
- DOS at the Fermi energy: 3.5 states/eV/f.u.

a = 4.1579 Å, b = 4.1579 Å, c = 5.2302 Å
α = 90.00°, β = 90.00°, γ = 90.00°
Closest atoms and distances in Å follow each position.
Space group P4/mmm (No. 123)
Unique sites:
Mg1 0.0000 0.0000 0.0000 x1  2 In 2.62
In1 0.0000 0.0000 0.5000 x1  4 C 2.08
Os1 0.5000 0.5000 0.0000 x1  4 Mg 2.94
C1 0.0000 0.5000 0.5000 x2  2 In 2.08


Record 7
An optimized crystal structure of MgInRe2C. Source: the Alexandria database, functional GGA-PBE.

Values from the calculation:
- Calculated formation energy: 3456 meV/atom
- DOS at the Fermi energy: 5.4 states/eV/f.u.

a = 5.0327 Å, b = 5.0327 Å, c = 5.0137 Å
α = 90.00°, β = 90.00°, γ = 90.00°
Closest atoms and distances in Å follow each position.
Space group P4/mmm (No. 123)
Unique sites:
Mg1 0.0000 0.0000 0.0000 x1  2 In 2.51
In1 0.0000 0.0000 0.5000 x1  2 Mg 2.51, 4 Re 2.52
Re1 0.0000 0.5000 0.5000 x2  2 In 2.52
C1 0.5000 0.5000 0.0000 x1  8 Re 3.55, 4 Mg 3.56


Record 8
An optimized crystal structure of Mg2ScInC. Source: the Alexandria database, functional GGA-PBE.

Values from the calculation:
- Calculated formation energy: -138 meV/atom
- DOS at the Fermi energy: 2.0 states/eV/f.u.

a = 4.4885 Å, b = 4.4885 Å, c = 4.5343 Å
α = 90.00°, β = 90.00°, γ = 90.00°
Closest atoms and distances in Å follow each position.
Space group P4/mmm (No. 123)
Unique sites:
Mg1 0.0000 0.5000 0.0000 x2  2 C 2.24
Sc1 0.0000 0.0000 0.5000 x1  2 C 2.27
In1 0.5000 0.5000 0.5000 x1  4 Sc 3.17, 8 Mg 3.19
C1 0.0000 0.0000 0.0000 x1  4 Mg 2.24, 2 Sc 2.27